(1)
Density functional theory data (PBE) for crystalline Li6Ni5Rh at its relaxed geometry.

a b c (Å): 5.7034 5.7034 4.4051
angles (deg): 96.74 96.74 83.00
With the nearest neighbours (Å) after each atom.
Fractional positions:
Li (0.0804, 0.4147, 0.2523)  6 Li 2.51-2.56, 5 Ni 2.53-2.60, 1 Rh 2.59
Li (0.2493, 0.2493, 0.7556)  6 Li 2.52-2.55, 5 Ni 2.53-2.60, 1 Rh 2.57
Li (0.4147, 0.0804, 0.2523)  6 Li 2.51-2.56, 5 Ni 2.53-2.60, 1 Rh 2.59
Li (0.5853, 0.9196, 0.7477)  6 Li 2.51-2.56, 5 Ni 2.53-2.60, 1 Rh 2.59
Li (0.7507, 0.7507, 0.2444)  6 Li 2.52-2.55, 5 Ni 2.53-2.60, 1 Rh 2.57
Li (0.9196, 0.5853, 0.7477)  6 Li 2.51-2.56, 5 Ni 2.53-2.60, 1 Rh 2.59
Ni (0.0000, 0.0000, 0.0000)  6 Ni 2.47-2.52, 6 Li 2.53-2.56
Ni (0.1626, 0.8374, 0.5000)  5 Ni 2.46-2.53, 6 Li 2.53-2.60, 1 Rh 2.55
Ni (0.3270, 0.6730, 0.0000)  4 Ni 2.47-2.61, 6 Li 2.54-2.60, 2 Rh 2.56
Ni (0.6730, 0.3270, 0.0000)  4 Ni 2.47-2.61, 6 Li 2.54-2.60, 2 Rh 2.56
Ni (0.8374, 0.1626, 0.5000)  5 Ni 2.46-2.53, 6 Li 2.53-2.60, 1 Rh 2.55
Rh (0.5000, 0.5000, 0.5000)  6 Ni 2.55-2.56, 6 Li 2.57-2.59

Summary:
- SG: C2/m (12)
- Final energy: -0.2981 Ry/atom
- Spin magnetization: 0.00 μB/f.u.
- Mass density: 5.18 g/cm³

---

(2)
Density functional theory data (PBE) for crystalline LiNi2Rh6 at its relaxed geometry.

a b c (Å): 6.3297 6.3297 9.0649
angles (deg): 103.70 103.70 43.01
With the nearest neighbours (Å) after each atom.
Fractional positions:
Li (0.0829, 0.9171, 0.7500)  10 Rh 2.64-2.69, 2 Ni 2.66
Li (0.9171, 0.0829, 0.2500)  10 Rh 2.64-2.69, 2 Ni 2.66
Ni (0.1412, 0.3048, 0.8031)  9 Rh 2.62-2.68, 2 Ni 2.65, 1 Li 2.66
Ni (0.3048, 0.1412, 0.3031)  9 Rh 2.62-2.68, 2 Ni 2.65, 1 Li 2.66
Ni (0.6952, 0.8588, 0.6969)  9 Rh 2.62-2.68, 2 Ni 2.65, 1 Li 2.66
Ni (0.8588, 0.6952, 0.1969)  9 Rh 2.62-2.68, 2 Ni 2.65, 1 Li 2.66
Rh (0.0248, 0.1979, 0.0264)  2 Li 2.64-2.68, 7 Rh 2.64-2.69, 3 Ni 2.64-2.68
Rh (0.1979, 0.0248, 0.5264)  2 Li 2.64-2.68, 7 Rh 2.64-2.69, 3 Ni 2.64-2.68
Rh (0.2486, 0.4151, 0.5848)  4 Ni 2.62-2.68, 7 Rh 2.62-2.69, 1 Li 2.66
Rh (0.3566, 0.5284, 0.3598)  2 Ni 2.62-2.63, 8 Rh 2.62-2.69, 2 Li 2.67-2.69
Rh (0.4151, 0.2486, 0.0848)  4 Ni 2.62-2.68, 7 Rh 2.62-2.69, 1 Li 2.66
Rh (0.4716, 0.6434, 0.1402)  2 Ni 2.62-2.63, 8 Rh 2.62-2.69, 2 Li 2.67-2.69
Rh (0.5284, 0.3566, 0.8598)  2 Ni 2.62-2.63, 8 Rh 2.62-2.69, 2 Li 2.67-2.69
Rh (0.5849, 0.7514, 0.9152)  4 Ni 2.62-2.68, 7 Rh 2.62-2.69, 1 Li 2.66
Rh (0.6434, 0.4716, 0.6402)  2 Ni 2.62-2.63, 8 Rh 2.62-2.69, 2 Li 2.67-2.69
Rh (0.7514, 0.5849, 0.4152)  4 Ni 2.62-2.68, 7 Rh 2.62-2.69, 1 Li 2.66
Rh (0.8021, 0.9752, 0.4736)  2 Li 2.64-2.68, 7 Rh 2.64-2.69, 3 Ni 2.64-2.68
Rh (0.9752, 0.8021, 0.9736)  2 Li 2.64-2.68, 7 Rh 2.64-2.69, 3 Ni 2.64-2.68

Summary:
- SG: C2/c (15)
- Final energy: -0.4704 Ry/atom
- Spin magnetization: 0.97 μB/f.u.
- Mass density: 10.28 g/cm³

---

(3)
Density functional theory data (PBE) for crystalline Li2Ni5Rh at its relaxed geometry.

a b c (Å): 5.9787 4.9555 4.9555
angles (deg): 74.20 52.90 52.90
With the nearest neighbours (Å) after each atom.
Fractional positions:
Li (0.2499, 0.7501, 0.2499)  8 Ni 2.48, 2 Li 2.59
Li (0.7501, 0.2499, 0.7501)  8 Ni 2.48, 2 Li 2.59
Ni (0.2494, 0.2494, 0.7506)  8 Ni 2.48, 2 Rh 2.59
Ni (0.2493, 0.7494, 0.7507)  4 Li 2.48, 2 Rh 2.48, 4 Ni 2.48-2.59
Ni (0.2500, 0.2500, 0.2500)  4 Li 2.48, 4 Ni 2.48-2.59, 2 Rh 2.48
Ni (0.7494, 0.2493, 0.2506)  4 Li 2.48, 2 Rh 2.48, 4 Ni 2.48-2.59
Ni (0.7500, 0.7500, 0.7500)  4 Li 2.48, 4 Ni 2.48-2.59, 2 Rh 2.48
Rh (0.7493, 0.7493, 0.2507)  10 Ni 2.48-2.59

Summary:
- SG: Fmm2 (42)
- Final energy: -0.3670 Ry/atom
- Spin magnetization: 1.19 μB/f.u.
- Mass density: 7.37 g/cm³

---

(4)
Density functional theory data (PBE) for crystalline LiNiRh at its relaxed geometry.

a b c (Å): 4.4536 4.4536 4.4536
angles (deg): 145.87 130.29 61.68
With the nearest neighbours (Å) after each atom.
Fractional positions:
Li (0.0000, 0.0000, 0.0000)  5 Rh 2.51-2.64, 5 Ni 2.53-2.62, 2 Li 2.61
Ni (0.6687, 0.6687, 0.0000)  5 Li 2.53-2.62, 5 Rh 2.59-2.61, 2 Ni 2.61
Rh (0.3279, 0.3279, 0.0000)  5 Li 2.51-2.64, 5 Ni 2.59-2.61, 2 Rh 2.61

Summary:
- SG: Imm2 (44)
- Final energy: -0.3688 Ry/atom
- Spin magnetization: 1.23 μB/f.u.
- Mass density: 7.48 g/cm³

---

(5)
Density functional theory data (PBE) for crystalline LiNi4Rh at its relaxed geometry.

a b c (Å): 4.4117 4.4117 4.4063
angles (deg): 99.98 99.98 120.35
With the nearest neighbours (Å) after each atom.
Fractional positions:
Li (0.0000, 0.0000, 0.0000)  2 Rh 2.51, 10 Ni 2.53-2.56
Ni (0.1697, 0.8303, 0.5000)  7 Ni 2.51-2.60, 3 Rh 2.53-2.55, 2 Li 2.56
Ni (0.3310, 0.6690, 0.0000)  7 Ni 2.51-2.59, 3 Li 2.53-2.55, 2 Rh 2.56
Ni (0.6690, 0.3310, 0.0000)  7 Ni 2.51-2.59, 3 Li 2.53-2.55, 2 Rh 2.56
Ni (0.8303, 0.1697, 0.5000)  7 Ni 2.51-2.60, 3 Rh 2.53-2.55, 2 Li 2.56
Rh (0.5000, 0.5000, 0.5000)  2 Li 2.51, 10 Ni 2.53-2.56

Summary:
- SG: C2/m (12)
- Final energy: -0.3975 Ry/atom
- Spin magnetization: 2.50 μB/f.u.
- Mass density: 8.25 g/cm³

---

(6)
Density functional theory data (PBE) for crystalline LiNiRh3 at its relaxed geometry.

a b c (Å): 2.6523 6.5642 8.2444
angles (deg): 68.77 89.94 89.97
With the nearest neighbours (Å) after each atom.
Fractional positions:
Li (0.2477, 0.0295, 0.2416)  6 Rh 2.44-2.67, 1 Ni 2.61, 2 Li 2.65
Li (0.7523, 0.9705, 0.7584)  6 Rh 2.44-2.67, 1 Ni 2.61, 2 Li 2.65
Ni (0.2510, 0.6026, 0.3663)  4 Ni 2.50-2.65, 6 Rh 2.51-2.72, 1 Li 2.61
Ni (0.7490, 0.3974, 0.6337)  4 Ni 2.50-2.65, 6 Rh 2.51-2.72, 1 Li 2.61
Rh (0.2494, 0.5738, 0.8389)  9 Rh 2.65-2.81, 2 Ni 2.72, 2 Li 2.78
Rh (0.2500, 0.1890, 0.4670)  3 Li 2.44-2.67, 3 Ni 2.54-2.62, 4 Rh 2.65-2.69
Rh (0.2508, 0.8141, 0.0444)  1 Ni 2.51, 3 Li 2.51-2.57, 7 Rh 2.64-2.72
Rh (0.7492, 0.1859, 0.9556)  1 Ni 2.51, 3 Li 2.51-2.57, 7 Rh 2.64-2.72
Rh (0.7500, 0.8110, 0.5330)  3 Li 2.44-2.67, 3 Ni 2.54-2.62, 4 Rh 2.65-2.69
Rh (0.7506, 0.4262, 0.1611)  9 Rh 2.65-2.81, 2 Ni 2.72, 2 Li 2.78

Summary:
- SG: P-1 (2)
- Final energy: -0.4346 Ry/atom
- Spin magnetization: 1.98 μB/f.u.
- Mass density: 9.29 g/cm³

---

(7)
Density functional theory data (PBE) for crystalline Li2Ni3Rh at its relaxed geometry.

a b c (Å): 4.5317 5.1031 6.8980
angles (deg): 68.80 76.20 89.24
With the nearest neighbours (Å) after each atom.
Fractional positions:
Li (0.0328, 0.0319, 0.1700)  6 Ni 2.46-2.72, 2 Rh 2.52-2.60, 4 Li 2.57-2.60
Li (0.4664, 0.2182, 0.8257)  6 Ni 2.41-2.67, 1 Rh 2.53, 3 Li 2.57-2.60
Li (0.5336, 0.7818, 0.1743)  6 Ni 2.41-2.67, 1 Rh 2.53, 3 Li 2.57-2.60
Li (0.9672, 0.9681, 0.8300)  6 Ni 2.46-2.72, 2 Rh 2.52-2.60, 4 Li 2.57-2.60
Ni (0.0460, 0.5163, 0.1634)  6 Ni 2.44-2.61, 5 Li 2.46-2.70, 1 Rh 2.52
Ni (0.2401, 0.3843, 0.4966)  5 Ni 2.46-2.67, 3 Li 2.50-2.57, 4 Rh 2.52-2.62
Ni (0.4581, 0.6844, 0.8371)  3 Li 2.41-2.64, 5 Ni 2.44-2.52, 2 Rh 2.53-2.66
Ni (0.5419, 0.3156, 0.1629)  3 Li 2.41-2.64, 5 Ni 2.44-2.52, 2 Rh 2.53-2.66
Ni (0.7599, 0.6157, 0.5034)  5 Ni 2.46-2.67, 3 Li 2.50-2.57, 4 Rh 2.52-2.62
Ni (0.9540, 0.4837, 0.8366)  6 Ni 2.44-2.61, 5 Li 2.46-2.70, 1 Rh 2.52
Rh (0.2559, 0.8740, 0.5044)  3 Li 2.52-2.60, 7 Ni 2.52-2.66, 2 Rh 2.55-2.64
Rh (0.7441, 0.1260, 0.4956)  3 Li 2.52-2.60, 7 Ni 2.52-2.66, 2 Rh 2.55-2.64

Summary:
- SG: P-1 (2)
- Final energy: -0.3517 Ry/atom
- Spin magnetization: 1.22 μB/f.u.
- Mass density: 6.76 g/cm³

---

(8)
Density functional theory data (PBE) for crystalline Li2NiRh at its relaxed geometry.

a b c (Å): 5.2403 5.2403 5.2403
angles (deg): 102.39 102.39 124.81
With the nearest neighbours (Å) after each atom.
Fractional positions:
Li (0.1136, 0.1250, 0.4886)  2 Ni 2.35, 2 Li 2.43, 2 Rh 2.45
Li (0.3750, 0.8864, 0.0114)  2 Ni 2.35, 2 Li 2.43, 2 Rh 2.45
Li (0.6364, 0.6250, 0.5114)  2 Ni 2.35, 2 Li 2.43, 2 Rh 2.45
Li (0.8750, 0.3636, 0.9886)  2 Ni 2.35, 2 Li 2.43, 2 Rh 2.45
Ni (0.0000, 0.0000, 0.0000)  4 Li 2.35, 2 Rh 2.43
Ni (0.7500, 0.2500, 0.5000)  4 Li 2.35, 2 Rh 2.43
Rh (0.2500, 0.7500, 0.5000)  2 Ni 2.43, 4 Li 2.45
Rh (0.5000, 0.5000, 0.0000)  2 Ni 2.43, 4 Li 2.45

Summary:
- SG: I-42d (122)
- Final energy: -0.2926 Ry/atom
- Spin magnetization: 1.02 μB/f.u.
- Mass density: 5.57 g/cm³